The following is a GGA-PBE calculation of a geometry-optimized TiBiH3 structure, from Alexandria.

Its energy relative to the lowest polymorph listed for this composition is 896 meV/atom. The raw total energy is -16.87 eV/cell. The calculation puts the calculated volume at 14.5 Å³ per atom. The crystal system is cubic.

The space group is Pm-3m (No. 221) and the conventional cell measures 4.1710, 4.1710 and 4.1710 Å, with angles of 90.00, 90.00 and 90.00 degrees. The distinct sites, in fractional coordinates, are Ti at (0.0000, 0.0000, 0.0000), Bi at (0.5000, 0.5000, 0.5000) and H at (0.0000, 0.5000, 0.5000).